1.
VASP calculation (GGA-PBE) on crystalline Na2Cd5Sn3 at its relaxed geometry.

Computed properties:
crystal system: orthorhombic
density of states at the Fermi level: 0.32 states/eV per atom
energy of formation: -0.0723 eV/atom
E: -1.995 eV per atom

POSCAR file:
```
Na2Cd5Sn3
1.0
6.483 0.000 0.000
3.242 9.177 -0.758
3.242 0.667 9.184
Na Cd Sn
4 10 6
direct
0.125 0.617 0.133 Na
0.625 0.133 0.617 Na
0.875 0.383 0.867 Na
0.375 0.867 0.383 Na
0.375 0.271 0.978 Cd
0.875 0.978 0.271 Cd
0.625 0.729 0.022 Cd
0.125 0.022 0.729 Cd
0.496 0.754 0.754 Cd
0.504 0.246 0.246 Cd
0.750 0.500 0.500 Cd
0.250 0.500 0.500 Cd
0.004 0.246 0.246 Cd
0.996 0.754 0.754 Cd
0.370 0.490 0.769 Sn
0.870 0.769 0.490 Sn
0.630 0.510 0.231 Sn
0.130 0.231 0.510 Sn
0.250 0.000 0.000 Sn
0.750 0.000 0.000 Sn
```

***

2.
VASP calculation (GGA-PBE) on crystalline Na2CdSn at its relaxed geometry.

Computed properties:
crystal system: tetragonal
density of states at the Fermi level: 0.70 states/eV per atom
energy of formation: -0.1071 eV/atom
E: -1.996 eV per atom

POSCAR file:
```
Na2CdSn
1.0
-3.224 -2.623 -2.790
2.784 0.397 -3.590
2.102 -3.864 1.203
Na Sn Cd
2 1 1
direct
0.000 0.000 0.500 Na
0.000 0.500 0.000 Na
0.500 0.500 0.500 Sn
0.500 0.000 0.000 Cd
```

***

3.
VASP calculation (GGA-PBE) on crystalline NaCd5Sn8 at its relaxed geometry.

Computed properties:
crystal system: tetragonal
density of states at the Fermi level: 0.39 states/eV per atom
energy of formation: 0.0452 eV/atom
E: -2.663 eV per atom

POSCAR file:
```
NaCd5Sn8
1.0
-2.434 2.529 7.173
7.117 -3.539 0.769
0.688 6.157 -5.039
Na Cd Sn
1 5 8
direct
0.250 0.500 0.750 Na
0.040 0.287 0.065 Cd
0.935 0.975 0.222 Cd
0.778 0.713 0.753 Cd
0.500 0.000 0.500 Cd
0.247 0.025 0.960 Cd
0.107 0.682 0.078 Sn
0.922 0.029 0.604 Sn
0.743 0.284 0.346 Sn
0.654 0.397 0.938 Sn
0.542 0.603 0.257 Sn
0.575 0.971 0.893 Sn
0.396 0.318 0.425 Sn
0.062 0.716 0.458 Sn
```

***

4.
VASP calculation (GGA-PBE) on crystalline Na3Cd7Sn4 at its relaxed geometry.

Computed properties:
crystal system: monoclinic
density of states at the Fermi level: 0.36 states/eV per atom
energy of formation: -0.0954 eV/atom
E: -1.979 eV per atom

POSCAR file:
```
Na3Cd7Sn4
1.0
0.572 -1.079 4.667
6.248 -6.515 0.220
7.835 4.087 2.477
Na Cd Sn
3 7 4
direct
0.288 0.215 0.210 Na
0.712 0.785 0.790 Na
0.000 0.500 0.500 Na
0.359 0.772 0.510 Cd
0.498 0.165 0.838 Cd
0.854 0.361 0.930 Cd
0.641 0.228 0.490 Cd
0.146 0.639 0.070 Cd
0.000 0.000 0.000 Cd
0.502 0.835 0.162 Cd
0.649 0.481 0.221 Sn
0.351 0.519 0.779 Sn
0.854 0.936 0.355 Sn
0.146 0.064 0.645 Sn
```

***

5.
VASP calculation (GGA-PBE) on crystalline NaCdSn4 at its relaxed geometry.

Computed properties:
crystal system: cubic
density of states at the Fermi level: 1.04 states/eV per atom
energy of formation: 0.0601 eV/atom
E: -2.981 eV per atom

POSCAR file:
```
NaCdSn4
1.0
-6.284 0.200 -0.202
-3.177 -4.275 -3.347
-3.383 -4.415 2.939
Na Sn Cd
1 4 1
direct
0.000 0.000 0.000 Na
0.625 0.625 0.126 Sn
0.625 0.126 0.625 Sn
0.625 0.625 0.625 Sn
0.126 0.625 0.625 Sn
0.250 0.250 0.250 Cd
```

***

6.
VASP calculation (GGA-PBE) on crystalline Na5Cd2Sn4 at its relaxed geometry.

Computed properties:
crystal system: orthorhombic
density of states at the Fermi level: 0.46 states/eV per atom
energy of formation: 0.0340 eV/atom
E: -2.188 eV per atom

POSCAR file:
```
Na5Cd2Sn4
1.0
3.241 0.000 0.000
0.000 9.177 0.000
-1.621 -4.588 11.039
Na Cd Sn
5 2 4
direct
0.155 0.471 0.310 Na
0.845 0.529 0.690 Na
0.155 0.839 0.310 Na
0.500 0.000 0.000 Na
0.845 0.161 0.690 Na
0.114 0.114 0.228 Cd
0.886 0.886 0.772 Cd
0.758 0.758 0.515 Sn
0.000 0.340 0.000 Sn
0.242 0.242 0.485 Sn
0.000 0.660 0.000 Sn
```

***

7.
VASP calculation (GGA-PBE) on crystalline NaCd6Sn at its relaxed geometry.

Computed properties:
crystal system: orthorhombic
density of states at the Fermi level: 0.31 states/eV per atom
energy of formation: -0.0233 eV/atom
E: -1.375 eV per atom

POSCAR file:
```
NaCd6Sn
1.0
-2.941 1.625 -3.731
-3.373 -5.358 0.325
-2.747 4.120 3.959
Na Cd Sn
1 6 1
direct
0.500 0.369 0.631 Na
0.000 0.061 0.364 Cd
0.000 0.636 0.939 Cd
0.000 0.563 0.437 Cd
0.500 0.452 0.144 Cd
0.500 0.856 0.548 Cd
0.500 0.936 0.064 Cd
0.000 0.128 0.872 Sn
```

***

8.
VASP calculation (GGA-PBE) on crystalline Na2CdSn at its relaxed geometry.

Computed properties:
crystal system: orthorhombic
density of states at the Fermi level: 0.40 states/eV per atom
energy of formation: -0.0639 eV/atom
E: -1.953 eV per atom

POSCAR file:
```
Na2CdSn
1.0
3.269 0.000 0.000
0.000 5.354 0.000
-1.635 0.000 12.114
Na Cd Sn
4 2 2
direct
0.780 0.250 0.560 Na
0.220 0.750 0.440 Na
0.032 0.250 0.063 Na
0.968 0.750 0.937 Na
0.158 0.250 0.316 Cd
0.842 0.750 0.684 Cd
0.405 0.250 0.809 Sn
0.595 0.750 0.191 Sn
```